Entry 1:
LaSc2W (meta-GGA SCAN, PBEsol geometry); ΔH_f (0 K) = 45.36 kJ per mole of atoms
1.0
2.971 0.000 0.000
0.000 2.971 0.000
0.000 0.000 10.216
La Sc W
1 2 1
Direct
0.000 0.000 0.000
0.000 0.000 0.555
0.500 0.500 0.298
0.500 0.500 0.759



Entry 2:
ZrNbRh2 (meta-GGA SCAN, PBEsol geometry); ΔH_f (0 K) = -50.51 kJ per mole of atoms
1.0
0.000 3.205 3.205
3.205 0.000 3.205
3.205 3.205 0.000
Zr Nb Rh
1 1 2
Direct
0.000 0.000 0.000
0.500 0.500 0.500
0.250 0.250 0.250
0.750 0.750 0.750



Entry 3:
CuReSiNi2 (meta-GGA SCAN, PBEsol geometry); E_form (uncorrected) = 4.73 eV per formula unit
1.0
4.061 0.000 0.000
0.000 4.061 0.000
0.000 0.000 4.421
Cu Re Si Ni
1 1 1 2
Direct
0.000 0.000 0.000
0.500 0.500 0.000
0.500 0.500 0.500
0.000 0.500 0.500
0.500 0.000 0.500



Entry 4:
TcBr2O (meta-GGA SCAN, PBEsol geometry); E_form (uncorrected) = 3.16 eV per formula unit
1.0
0.000 3.073 3.073
3.073 0.000 3.073
3.073 3.073 0.000
Tc Br O
1 2 1
Direct
0.000 0.000 0.000
0.250 0.250 0.250
0.750 0.750 0.750
0.500 0.500 0.500



Entry 5:
Ag4TeAu (meta-GGA SCAN, PBEsol geometry); E_form (uncorrected) = 1.09 eV per formula unit
1.0
0.000 3.836 3.836
3.836 0.000 3.836
3.836 3.836 0.000
Ag Te Au
4 1 1
Direct
0.125 0.125 0.125
0.125 0.125 0.626
0.125 0.626 0.125
0.626 0.125 0.125
0.500 0.500 0.500
0.750 0.750 0.750



Entry 6:
Tm5P12Ir19 (meta-GGA SCAN, PBEsol geometry); ΔH_f (0 K) = -86.21 kJ per mole of atoms
1.0
12.561 0.000 0.000
-6.281 10.879 0.000
0.000 0.000 3.910
Tm P Ir
5 12 19
Direct
0.000 0.183 0.000
0.183 0.000 0.000
0.333 0.667 0.500
0.667 0.333 0.500
0.817 0.817 0.000
0.000 0.355 0.500
0.000 0.822 0.500
0.171 0.687 0.000
0.178 0.178 0.500
0.313 0.484 0.000
0.355 0.000 0.500
0.484 0.313 0.000
0.516 0.829 0.000
0.645 0.645 0.500
0.687 0.171 0.000
0.822 0.000 0.500
0.829 0.516 0.000
0.000 0.000 0.500
0.000 0.536 0.500
0.000 0.715 0.000
0.133 0.493 0.000
0.180 0.806 0.500
0.194 0.375 0.500
0.285 0.285 0.000
0.360 0.867 0.000
0.375 0.194 0.500
0.464 0.464 0.500
0.493 0.133 0.000
0.507 0.640 0.000
0.536 0.000 0.500
0.625 0.820 0.500
0.640 0.507 0.000
0.715 0.000 0.000
0.806 0.180 0.500
0.820 0.625 0.500
0.867 0.360 0.000



Entry 7:
SiPd3Ru (meta-GGA SCAN, PBEsol geometry); E_form (uncorrected) = 2.42 eV per formula unit
1.0
4.393 0.000 0.000
0.000 4.393 0.000
0.000 0.000 4.393
Si Pd Ru
1 3 1
Direct
0.000 0.000 0.000
0.000 0.000 0.500
0.000 0.500 0.000
0.500 0.000 0.000
0.500 0.500 0.500



Entry 8:
VASP calculation (meta-GGA SCAN) on a crystal of MgH2SO5 relaxed with PBEsol.

Geometry as POSCAR:
```
MgH2SO5
1.0
3.334 -3.940 0.000
3.334 3.940 0.000
-3.297 0.000 6.753
Mg H S O
2 4 2 10
Direct
0.000 0.500 0.000
0.500 0.000 0.500
0.049 0.140 0.707
0.140 0.049 0.207
0.860 0.951 0.793
0.951 0.860 0.293
0.415 0.585 0.750
0.585 0.415 0.250
0.120 0.880 0.250
0.272 0.324 0.158
0.288 0.670 0.902
0.324 0.272 0.658
0.330 0.712 0.598
0.670 0.288 0.402
0.676 0.728 0.342
0.712 0.330 0.098
0.728 0.676 0.842
0.880 0.120 0.750
```



Entry 9:
Sr2AlAs (meta-GGA SCAN, PBEsol geometry); ΔH_f (0 K) = -35.12 kJ per mole of atoms
1.0
-2.259 2.259 5.503
2.259 -2.259 5.503
2.259 2.259 -5.503
Sr Al As
2 1 1
Direct
0.000 0.000 0.000
0.750 0.250 0.500
0.500 0.500 0.000
0.250 0.750 0.500



Entry 10:
VASP calculation (meta-GGA SCAN) on a crystal of Na3H7Ru relaxed with PBEsol.

Geometry as POSCAR:
```
Na3H7Ru
1.0
9.370 0.000 0.000
0.000 9.370 0.000
0.000 0.000 5.141
Na H Ru
12 28 4
Direct
0.033 0.303 0.000
0.116 0.884 0.500
0.197 0.533 0.500
0.303 0.033 0.000
0.384 0.384 0.000
0.467 0.803 0.500
0.533 0.197 0.500
0.616 0.616 0.000
0.697 0.967 0.000
0.803 0.467 0.500
0.884 0.116 0.500
0.967 0.697 0.000
0.065 0.324 0.500
0.103 0.103 0.297
0.103 0.103 0.703
0.174 0.826 0.000
0.176 0.565 0.000
0.242 0.242 0.200
0.242 0.242 0.800
0.258 0.742 0.300
0.258 0.742 0.700
0.324 0.065 0.500
0.326 0.326 0.500
0.397 0.603 0.203
0.397 0.603 0.797
0.435 0.824 0.000
0.565 0.176 0.000
0.603 0.397 0.203
0.603 0.397 0.797
0.674 0.674 0.500
0.676 0.935 0.500
0.742 0.258 0.300
0.742 0.258 0.700
0.758 0.758 0.200
0.758 0.758 0.800
0.824 0.435 0.000
0.826 0.174 0.000
0.897 0.897 0.297
0.897 0.897 0.703
0.935 0.676 0.500
0.201 0.201 0.500
0.299 0.701 0.000
0.701 0.299 0.000
0.799 0.799 0.500
```



Entry 11:
Tl2CdBi2 (meta-GGA SCAN, PBEsol geometry); ΔH_f (0 K) = 4.27 kJ per mole of atoms
1.0
7.746 0.000 0.000
0.000 7.746 0.000
0.000 0.000 5.187
Tl Cd Bi
4 2 4
Direct
0.167 0.333 0.000
0.333 0.833 0.000
0.667 0.167 0.000
0.833 0.667 0.000
0.000 0.000 0.500
0.500 0.500 0.500
0.141 0.641 0.500
0.359 0.141 0.500
0.641 0.859 0.500
0.859 0.359 0.500



Entry 12:
Mn2TlW (meta-GGA SCAN, PBEsol geometry); ΔH_f (0 K) = 52.31 kJ per mole of atoms
1.0
4.226 -1.519 0.000
4.226 1.519 0.000
-1.145 0.000 4.794
Mn Tl W
2 1 1
Direct
0.238 0.238 0.196
0.762 0.762 0.804
0.000 0.000 0.500
0.500 0.500 0.000



Entry 13:
CeAsO3 (meta-GGA SCAN, PBEsol geometry); E_form (uncorrected) = -12.17 eV per formula unit
1.0
8.327 0.000 0.000
0.000 8.002 0.000
-1.204 0.000 9.128
Ce As O
8 8 24
Direct
0.221 0.244 0.478
0.221 0.256 0.978
0.266 0.718 0.018
0.266 0.782 0.518
0.734 0.218 0.482
0.734 0.282 0.982
0.779 0.744 0.022
0.779 0.756 0.522
0.054 0.030 0.206
0.054 0.470 0.706
0.481 0.523 0.286
0.481 0.977 0.786
0.519 0.023 0.214
0.519 0.477 0.714
0.946 0.530 0.294
0.946 0.970 0.794
0.023 0.679 0.048
0.023 0.821 0.548
0.179 0.511 0.557
0.179 0.989 0.057
0.218 0.507 0.854
0.218 0.993 0.354
0.312 0.657 0.305
0.312 0.843 0.805
0.380 0.058 0.614
0.380 0.442 0.114
0.458 0.161 0.900
0.458 0.339 0.400
0.542 0.661 0.600
0.542 0.839 0.100
0.620 0.558 0.886
0.620 0.942 0.386
0.688 0.157 0.195
0.688 0.343 0.695
0.782 0.007 0.646
0.782 0.493 0.146
0.821 0.011 0.943
0.821 0.489 0.443
0.977 0.179 0.452
0.977 0.321 0.952



Entry 14:
TlSi2Se (meta-GGA SCAN, PBEsol geometry); E_form (uncorrected) = 1.30 eV per formula unit
1.0
3.365 0.000 0.000
0.000 5.120 0.000
-1.646 0.000 5.176
Tl Si Se
1 2 1
Direct
0.000 0.000 0.000
0.249 0.500 0.495
0.275 0.000 0.549
0.589 0.500 0.167



Entry 15:
Ti2GaN (meta-GGA SCAN, PBEsol geometry); E_form (uncorrected) = -5.41 eV per formula unit
1.0
2.978 0.000 0.000
-1.489 2.579 0.000
0.000 0.000 13.211
Ti Ga N
4 2 2
Direct
0.333 0.667 0.087
0.333 0.667 0.413
0.667 0.333 0.587
0.667 0.333 0.913
0.333 0.667 0.750
0.667 0.333 0.250
0.000 0.000 0.000
0.000 0.000 0.500



Entry 16:
KRb2NF (meta-GGA SCAN, PBEsol geometry); E_form (uncorrected) = -0.60 eV per formula unit
1.0
5.109 0.000 0.000
0.000 5.109 0.000
0.000 0.000 11.725
K Rb N F
1 2 1 1
Direct
0.000 0.000 0.000
0.000 0.500 0.500
0.500 0.000 0.500
0.500 0.500 0.500
0.500 0.500 0.000



Entry 17:
NaRh3Pb (meta-GGA SCAN, PBEsol geometry); ΔH_f (0 K) = 113.45 kJ per mole of atoms
1.0
4.969 0.000 0.000
0.000 4.969 0.000
0.000 0.000 4.969
Na Rh Pb
1 3 1
Direct
0.000 0.000 0.000
0.000 0.500 0.500
0.500 0.000 0.500
0.500 0.500 0.000
0.500 0.500 0.500



Entry 18:
NiI2NF (meta-GGA SCAN, PBEsol geometry); E_form (uncorrected) = 6.71 eV per formula unit
1.0
5.618 0.000 0.000
0.000 5.618 0.000
0.000 0.000 3.324
Ni I N F
1 2 1 1
Direct
0.000 0.000 0.000
0.000 0.500 0.500
0.500 0.000 0.500
0.500 0.500 0.000
0.500 0.500 0.500



Entry 19:
TcHg2Ru (meta-GGA SCAN, PBEsol geometry); ΔH_f (0 K) = 72.33 kJ per mole of atoms
1.0
2.812 -4.782 0.000
2.812 4.782 0.000
-1.304 0.000 2.494
Tc Hg Ru
1 2 1
Direct
0.000 0.000 0.000
0.000 0.500 0.500
0.500 0.000 0.500
0.500 0.500 0.000



Entry 20:
KGa2Ir2 (meta-GGA SCAN, PBEsol geometry); ΔH_f (0 K) = -19.38 kJ per mole of atoms
1.0
-2.159 2.159 5.088
2.159 -2.159 5.088
2.159 2.159 -5.088
K Ga Ir
1 2 2
Direct
0.000 0.000 0.000
0.250 0.750 0.500
0.750 0.250 0.500
0.379 0.379 0.000
0.621 0.621 0.000



Calculated total energy values (in eV per atom) by entry order: -34.847; -33.366; -24.786; -19.263; -38.464; -49.083; -28.148; -7.719; -18.487; -6.860; -66.414; -44.097; -19.124; -27.791; -15.776; -12.648; -35.086; -19.155; -50.805; -36.845.
Total magnetic moment values (in μB/f.u.) by entry order: 0.0; 0.0; 0.7; 1.0; 0.0; 0.0; 2.8; 0.0; 0.0; 0.1; 0.0; 5.1; 0.0; 0.0; 0.0; 1.0; 1.6; 3.2; 2.3; 0.0.